Density functional theory data (PBE) for crystalline CsCaTeHAu at its relaxed geometry.

Its total energy is -16.1 eV per cell. Its space group is Pmm2. As for the energy above the most stable polymorph in this dataset: 0 meV per atom.

Cell: 4.102 3.933 8.513 Å, 90.00 90.00 90.00°
Element x y z (fractional)
1 Cs 0.500 0.500 0.904
2 Ca 0.500 0.500 0.386
3 Te 0.000 0.000 0.217
4 H 0.000 0.500 0.602
5 Au 0.000 0.000 0.589

Density functional theory data (PBE) for crystalline Y3Ho2PuTe6 at its relaxed geometry.

Its total energy is -77.0 eV per cell. Its space group is C2/m. For the uncorrected formation energy, the calculation gives -1.2714 eV/atom.

Cell: 4.346 8.762 9.770 Å, 103.07 102.85 90.00°
Element x y z (fractional)
1 Y 0.500 0.500 0.000
2 Y 0.835 0.166 0.671
3 Y 0.165 0.834 0.329
4 Ho 0.837 0.672 0.674
5 Ho 0.163 0.328 0.326
6 Pu 0.500 0.000 0.000
7 Te 0.331 0.914 0.662
8 Te 0.669 0.582 0.338
9 Te 0.669 0.086 0.338
10 Te 0.000 0.253 0.000
11 Te 0.000 0.747 0.000
12 Te 0.331 0.418 0.662

Density functional theory data (PBE) for crystalline Sm2PuTaN4 at its relaxed geometry.

Its total energy is -79.6 eV per cell. Its space group is P2/m. For the uncorrected formation energy, the calculation gives -1.3341 eV/atom.

Cell: 3.387 5.875 5.952 Å, 108.73 90.00 90.00°
Element x y z (fractional)
1 Sm 0.500 0.000 0.500
2 Sm 0.000 0.500 0.500
3 Pu 0.500 0.500 0.000
4 Ta 0.000 0.000 0.000
5 N 0.500 0.223 0.212
6 N 0.500 0.777 0.788
7 N 0.000 0.241 0.782
8 N 0.000 0.759 0.218

Density functional theory data (PBE) for crystalline Pm6PrY4 at its relaxed geometry.

Its total energy is -115.8 eV per cell. Its space group is Cmcm. As for the energy above the most stable polymorph in this dataset: 0 meV per atom.

Cell: 5.889 5.704 26.029 Å, 90.00 90.00 121.08°
Element x y z (fractional)
1 Pm 0.500 0.000 0.000
2 Pm 0.500 0.000 0.500
3 Pm 0.125 0.250 0.318
4 Pm 0.875 0.750 0.682
5 Pm 0.875 0.750 0.818
6 Pm 0.125 0.250 0.182
7 Pm 0.802 0.603 0.400
8 Pm 0.198 0.397 0.600
9 Pm 0.198 0.397 0.900
10 Pm 0.802 0.603 0.100
11 Pm 0.452 0.903 0.250
12 Pm 0.548 0.097 0.750
13 Pr 0.790 0.581 0.250
14 Pr 0.210 0.419 0.750
15 Y 0.849 0.698 0.544
16 Y 0.459 0.919 0.123
17 Y 0.151 0.302 0.456
18 Y 0.541 0.081 0.877
19 Y 0.849 0.698 0.956
20 Y 0.151 0.302 0.044
21 Y 0.541 0.081 0.623
22 Y 0.459 0.919 0.377

Fermi-level density of states for every record listed, in sequence, given in states/eV/f.u.: 1.2; 11.6; 7.1; 20.2.
M_tot for every record listed, in sequence, given in μB per atom: 0.00; 0.51; 0.56; 0.00.